[1]
A relaxed structure of TbSmTl2, computed with PBE-GGA. Values from VASP.

Cell and atoms, written as Quantum ESPRESSO input:
```
&SYSTEM
  ibrav = 0, nat = 4, ntyp = 3
/
ATOMIC_SPECIES
Tl 204.38 Tl.upf
Tb 158.93 Tb.upf
Sm 150.36 Sm.upf
CELL_PARAMETERS angstrom
3.8359 0.0000 0.0000
0.0000 3.8359 0.0000
0.0000 0.0000 7.6582
ATOMIC_POSITIONS crystal
Tl 0.0000 0.0000 0.7557
Tl 0.0000 0.0000 0.2443
Tb 0.5000 0.5000 0.0000
Sm 0.5000 0.5000 0.5000
```

Properties
**Calculated volume**: 28.17 A^3/atom

---

[2]
A relaxed structure of Tb8Sm3Tl, computed with PBE-GGA. Values from VASP.

Cell and atoms, written as Quantum ESPRESSO input:
```
&SYSTEM
  ibrav = 0, nat = 12, ntyp = 3
/
ATOMIC_SPECIES
Tb 158.93 Tb.upf
Sm 150.36 Sm.upf
Tl 204.38 Tl.upf
CELL_PARAMETERS angstrom
-4.3829 6.4173 3.0313
-2.7402 -7.6858 1.7321
7.6107 -1.2912 3.1607
ATOMIC_POSITIONS crystal
Tb 0.5068 0.2704 0.2704
Tb 0.4932 0.7636 0.7636
Tb 0.0000 0.7296 0.2364
Tb 0.0000 0.2364 0.7296
Tb 0.2531 0.3813 0.3813
Tb 0.7469 0.1282 0.1282
Tb 0.0000 0.6187 0.8718
Tb 0.0000 0.8718 0.6187
Sm 0.5000 0.7500 0.2500
Sm 0.5000 0.2500 0.7500
Sm 0.0000 0.5000 0.5000
Tl 0.0000 0.0000 0.0000
```

Properties
**Calculated volume**: 35.41 A^3/atom

---

[3]
A relaxed structure of Tb3Sm2Tl, computed with PBE-GGA. Values from VASP.

Cell and atoms, written as Quantum ESPRESSO input:
```
&SYSTEM
  ibrav = 0, nat = 6, ntyp = 3
/
ATOMIC_SPECIES
Tb 158.93 Tb.upf
Sm 150.36 Sm.upf
Tl 204.38 Tl.upf
CELL_PARAMETERS angstrom
-1.3280 2.9753 1.0711
-10.7373 -4.2599 -1.4789
6.0530 -1.0454 4.9174
ATOMIC_POSITIONS crystal
Tb 0.0000 0.0237 0.0000
Tb 0.3393 0.3294 0.6785
Tb 0.6607 0.6509 0.3215
Sm 0.8281 0.5693 0.6562
Sm 0.1719 0.9131 0.3438
Tl 0.5000 0.2566 0.0000
```

Properties
**Distance to the lowest polymorph of the same formula**: 377 meV/atom
**Calculated volume**: 33.33 A^3/atom

---

[4]
A relaxed structure of Tb2Sm12Tl5, computed with PBE-GGA. Values from VASP.

Cell and atoms, written as Quantum ESPRESSO input:
```
&SYSTEM
  ibrav = 0, nat = 19, ntyp = 3
/
ATOMIC_SPECIES
Tb 158.93 Tb.upf
Sm 150.36 Sm.upf
Tl 204.38 Tl.upf
CELL_PARAMETERS angstrom
-0.9722 0.2507 9.8323
7.4789 -0.0055 -4.2278
0.7027 8.7262 -0.1530
ATOMIC_POSITIONS crystal
Tb 0.6674 0.0000 0.0000
Tb 0.3326 0.0000 0.0000
Sm 0.9064 0.8128 0.1421
Sm 0.0304 0.6934 0.7962
Sm 0.6630 0.6934 0.7962
Sm 0.1776 0.7645 0.3674
Sm 0.5869 0.7645 0.3674
Sm 0.4137 0.8274 0.6778
Sm 0.5863 0.1726 0.3222
Sm 0.8224 0.2355 0.6326
Sm 0.4131 0.2355 0.6326
Sm 0.9696 0.3066 0.2038
Sm 0.3370 0.3066 0.2038
Sm 0.0936 0.1872 0.8579
Tl 0.2202 0.4405 0.5124
Tl 0.3057 0.6113 0.0154
Tl 0.0000 0.0000 0.5000
Tl 0.6943 0.3887 0.9846
Tl 0.7798 0.5595 0.4876
```

Properties
**Calculated volume**: 31.86 A^3/atom

---

[5]
A relaxed structure of Tb5SmTl4, computed with PBE-GGA. Values from VASP.

Cell and atoms, written as Quantum ESPRESSO input:
```
&SYSTEM
  ibrav = 0, nat = 10, ntyp = 3
/
ATOMIC_SPECIES
Tb 158.93 Tb.upf
Sm 150.36 Sm.upf
Tl 204.38 Tl.upf
CELL_PARAMETERS angstrom
3.6225 0.0000 0.0000
0.0000 3.6225 0.0000
0.0000 0.0000 21.9449
ATOMIC_POSITIONS crystal
Tb 0.5000 0.5000 0.1159
Tb 0.5000 0.5000 0.3074
Tb 0.5000 0.5000 0.5000
Tb 0.5000 0.5000 0.6926
Tb 0.5000 0.5000 0.8841
Sm 0.0000 0.0000 0.0000
Tl 0.0000 0.0000 0.2114
Tl 0.0000 0.0000 0.4040
Tl 0.0000 0.0000 0.5960
Tl 0.0000 0.0000 0.7886
```

Properties
**Calculated volume**: 28.80 A^3/atom

---

[6]
A relaxed structure of Tb2SmTl2, computed with PBE-GGA. Values from VASP.

Cell and atoms, written as Quantum ESPRESSO input:
```
&SYSTEM
  ibrav = 0, nat = 10, ntyp = 3
/
ATOMIC_SPECIES
Tb 158.93 Tb.upf
Sm 150.36 Sm.upf
Tl 204.38 Tl.upf
CELL_PARAMETERS angstrom
-1.0595 -2.3855 2.7544
5.1962 -0.5866 1.4907
-0.7970 12.0782 7.5309
ATOMIC_POSITIONS crystal
Tb 0.0495 0.7500 0.0990
Tb 0.9505 0.2500 0.9010
Tb 0.2370 0.7500 0.4741
Tb 0.7630 0.2500 0.5259
Sm 0.8527 0.7500 0.7025
Sm 0.1473 0.2500 0.2975
Tl 0.6435 0.7500 0.2887
Tl 0.3565 0.2500 0.7113
Tl 0.4518 0.7500 0.9045
Tl 0.5482 0.2500 0.0955
```

Properties
**Calculated volume**: 29.15 A^3/atom

---

[7]
A relaxed structure of Tb3SmTl, computed with PBE-GGA. Values from VASP.

Cell and atoms, written as Quantum ESPRESSO input:
```
&SYSTEM
  ibrav = 0, nat = 10, ntyp = 3
/
ATOMIC_SPECIES
Tb 158.93 Tb.upf
Sm 150.36 Sm.upf
Tl 204.38 Tl.upf
CELL_PARAMETERS angstrom
5.3816 0.0000 -0.0001
0.0000 6.8405 -0.0154
0.0001 -0.0120 8.6604
ATOMIC_POSITIONS crystal
Tb 0.3756 0.3888 0.2011
Tb 0.3756 0.9029 0.0091
Tb 0.8756 0.4485 0.5099
Tb 0.8756 0.9639 0.7004
Tb 0.8756 0.4499 0.8924
Tb 0.3756 0.9043 0.3916
Sm 0.3756 0.2367 0.7018
Sm 0.8756 0.1161 0.1998
Tl 0.3756 0.6769 0.6994
Tl 0.8756 0.6759 0.2021
```

Properties
**Distance to the lowest polymorph of the same formula**: 73 meV/atom
**Calculated volume**: 31.88 A^3/atom

---

[8]
A relaxed structure of TbSmTl, computed with PBE-GGA. Values from VASP.

Cell and atoms, written as Quantum ESPRESSO input:
```
&SYSTEM
  ibrav = 0, nat = 3, ntyp = 3
/
ATOMIC_SPECIES
Tl 204.38 Tl.upf
Tb 158.93 Tb.upf
Sm 150.36 Sm.upf
CELL_PARAMETERS angstrom
-0.0121 0.4431 -3.3726
3.2630 -0.9512 -0.1367
-4.1992 -8.4128 0.6251
ATOMIC_POSITIONS crystal
Tl 0.9490 0.9490 0.8981
Tb 0.7708 0.7708 0.5416
Sm 0.1302 0.1302 0.2603
```

Properties
**Distance to the lowest polymorph of the same formula**: 455 meV/atom
**Calculated volume**: 35.14 A^3/atom

---

The following E_form values (in eV per atom) correspond, in order, to the records above: -0.371; 0.506; 0.275; -0.080; -0.280; -0.291; -0.051; 0.191.
The following total magnetization values (in μB per atom) correspond, in order, to the records above: 0.0000; 0.0000; 0.0002; 0.0001; 0.0133; 0.0000; 0.0000; 0.0000.